1.
4
Lattice="4.000 0.000 0.000 0.000 4.407 0.000 0.000 0.000 4.407" Properties=species:S:1:pos:R:3 comment="Zr2CoTe | Alexandria | GGA-PBE | optimized geometry" raw_formation_energy_mev_per_atom=-201 m_tot_mub_per_cell=1.32 energy_ev_per_atom=-7.04 pbc="T T T"
Zr 0.000 2.204 2.204
Co 2.000 2.204 0.000
Te 2.000 0.000 2.204
Zr 0.000 0.000 0.000

***

2.
3
Lattice="4.147 0.000 0.000 -2.074 3.592 0.000 0.000 0.000 3.760" Properties=species:S:1:pos:R:3 comment="ZrCoTe | Alexandria | GGA-PBE | optimized geometry" raw_formation_energy_mev_per_atom=-424 m_tot_mub_per_cell=0.00 energy_ev_per_atom=-6.69 pbc="T T T"
Zr 0.000 2.394 2.629
Co 0.000 0.000 0.359
Te 2.074 1.197 0.772

***

3.
8
Lattice="-2.747 3.938 -4.051 -5.042 -3.742 -0.218 -6.270 3.038 2.334" Properties=species:S:1:pos:R:3 comment="ZrCoTe2 | Alexandria | GGA-PBE | optimized geometry" raw_formation_energy_mev_per_atom=-81 m_tot_mub_per_cell=2.11 energy_ev_per_atom=-5.57 pbc="T T T"
Te -7.837 2.194 0.141
Zr 0.000 0.000 0.000
Co -7.603 -0.303 -0.009
Te -5.178 -0.920 -0.231
Te -3.798 2.587 -1.804
Zr -6.456 3.537 -1.926
Co -3.894 0.098 -2.135
Te -11.304 2.609 -1.975

***

4.
5
Lattice="-2.345 2.370 1.305 -1.228 -2.471 2.281 3.227 2.125 6.849" Properties=species:S:1:pos:R:3 comment="Zr2Co2Te | Alexandria | GGA-PBE | optimized geometry" raw_formation_energy_mev_per_atom=-233 m_tot_mub_per_cell=0.00 energy_ev_per_atom=-7.12 e_above_lowest_polymorph_kj_per_mol_atoms=12.75 pbc="T T T"
Zr -0.514 0.501 3.076
Co 0.106 -0.199 5.462
Co -0.452 2.222 4.974
Zr 0.169 1.522 7.359
Te 0.000 0.000 0.000

***

5.
3
Lattice="-1.588 -2.344 4.536 -2.771 -4.562 0.320 4.278 2.184 -2.349" Properties=species:S:1:pos:R:3 comment="ZrCoTe | Alexandria | GGA-PBE | optimized geometry" raw_formation_energy_mev_per_atom=-137 m_tot_mub_per_cell=0.47 energy_ev_per_atom=-6.40 pbc="T T T"
Zr -2.826 -4.478 3.149
Te -1.474 -2.336 1.643
Co -0.058 -0.093 0.065

***

6.
5
Lattice="4.610 0.000 0.000 0.000 4.610 0.000 0.000 0.000 4.610" Properties=species:S:1:pos:R:3 comment="ZrCo3Te | Alexandria | GGA-PBE | optimized geometry" raw_formation_energy_mev_per_atom=1276 m_tot_mub_per_cell=2.06 energy_ev_per_atom=-5.33 e_above_lowest_polymorph_kj_per_mol_atoms=42.96 pbc="T T T"
Co 0.000 2.305 0.000
Co 0.000 0.000 2.305
Co 2.305 0.000 0.000
Te 2.305 2.305 2.305
Zr 0.000 0.000 0.000

***

Number 1: V 19.42 A^3/atom. Number 2: V 18.67 A^3/atom. Number 3: V 28.87 A^3/atom. Number 4: V 19.09 A^3/atom. Number 5: V 19.07 A^3/atom. Number 6: V 19.60 A^3/atom.